NdSmYCu (GGA-PBE, relaxed); V = 27.956 Å³ per atom; space-group type = P4mm, No. 99; M_tot = 0.00 μB/cell; energy of formation from the pure elements = -0.08 eV/atom; density of states at the Fermi level = 3.89 states/eV/f.u.
1.0
3.568 0.000 0.000
0.000 3.568 0.000
0.000 0.000 8.784
Nd Sm Y Cu
1 1 1 1
Cartesian
0.000 0.000 0.000
1.784 1.784 6.078
1.784 1.784 2.679
0.000 0.000 4.311

La6P2I3N (GGA-PBE, relaxed); V = 29.485 Å³ per atom; electronic total energy = -5.8213 eV per atom; space-group type = C2/m, No. 12; M_tot = 0.00 μB/cell; density of states at the Fermi level = 5.70 states/eV/f.u.
1.0
3.610 -6.249 0.000
3.610 6.249 0.000
-2.405 0.000 7.842
La P I N
6 2 3 1
Cartesian
1.113 1.927 1.429
-0.178 0.000 6.394
1.113 -1.927 1.429
3.702 1.927 6.413
4.993 0.000 1.448
3.702 -1.927 6.413
3.610 2.076 0.000
3.610 -2.076 0.000
2.407 4.090 3.921
2.407 0.000 3.921
2.407 -4.090 3.921
0.000 0.000 0.000

Tb4Y2Er7 (GGA-PBE, relaxed); V = 32.130 Å³ per atom; space-group type = P-31m, No. 162; M_tot = 0.00 μB/cell; energy of formation from the pure elements = 0.17 eV/atom; density of states at the Fermi level = 17.19 states/eV/f.u.
1.0
6.035 0.000 0.000
-3.018 5.227 0.000
0.000 0.000 13.240
Tb Y Er
4 2 7
Cartesian
0.000 0.000 1.408
0.000 0.000 11.833
0.000 3.485 0.000
3.018 1.742 0.000
0.000 3.485 6.620
3.018 1.742 6.620
0.000 0.000 6.620
-1.061 1.838 9.461
-1.956 3.389 3.779
2.123 0.000 9.461
1.061 1.838 3.779
3.913 0.000 3.779
1.956 3.389 9.461

Te4As (GGA-PBE, relaxed); V = 33.215 Å³ per atom; space-group type = I4/mmm, No. 139; M_tot = 0.00 μB/cell; density of states at the Fermi level = 4.60 states/eV/f.u.; E above lowest polymorph = 0.153 eV/atom
1.0
6.029 0.000 0.000
0.000 6.029 0.000
0.000 0.000 9.138
Te As
8 2
Cartesian
0.000 0.000 1.726
0.000 0.000 7.412
0.000 3.014 2.284
0.000 3.014 6.853
3.014 0.000 2.284
3.014 0.000 6.853
3.014 3.014 2.843
3.014 3.014 6.295
0.000 0.000 4.569
3.014 3.014 0.000

Co2AgAs (GGA-PBE, relaxed); V = 14.878 Å³ per atom; space-group type = P4mm, No. 99; M_tot = 2.99 μB/cell; energy of formation from the pure elements = 0.20 eV/atom; density of states at the Fermi level = 3.13 states/eV/f.u.
1.0
2.776 0.000 0.000
0.000 2.776 0.000
0.000 0.000 7.721
Co Ag As
2 1 1
Cartesian
0.000 0.000 0.000
1.388 1.388 1.488
0.000 0.000 3.444
1.388 1.388 6.161

CaMgSbAu (GGA-PBE, relaxed); V = 23.845 Å³ per atom; electronic total energy = -3.3729 eV per atom; space-group type = F-43m, No. 216; M_tot = 0.00 μB/cell; density of states at the Fermi level = 0.08 states/eV/f.u.
1.0
7.253 0.000 0.000
0.000 7.253 0.000
0.000 0.000 7.253
Ca Mg Sb Au
4 4 4 4
Cartesian
0.000 0.000 0.000
0.000 3.626 3.626
3.626 0.000 3.626
3.626 3.626 0.000
0.000 0.000 3.626
0.000 3.626 0.000
3.626 0.000 0.000
3.626 3.626 3.626
1.813 1.813 5.440
1.813 5.440 1.813
5.440 1.813 1.813
5.440 5.440 5.440
1.813 1.813 1.813
1.813 5.440 5.440
5.440 1.813 5.440
5.440 5.440 1.813